Entry 1:
Below is an optimized crystal structure of CdMoBr2, with properties calculated at the PBE level.

Structure (POSCAR):
```
CdMoBr2
1.0
7.8401 0.0000 0.0000
0.0000 7.8401 0.0000
3.9201 3.9201 4.5631
Cd Mo Br
2 2 4
Direct
0.7500 0.2500 0.5000
0.0000 0.0000 0.0000
0.2500 0.7500 0.5000
0.5000 0.5000 0.0000
0.2504 0.6250 0.2500
0.3750 0.5004 0.7500
0.8750 0.7496 0.7500
0.4996 0.1250 0.2500
```

Results
Volume: 280.48 Å³ per cell
D(E_F): 17.6 states/eV/cell
Formation energy (no corrections): 0.458 eV per atom
Electronic total energy: -3.315 eV/atom

---

Entry 2:
Below is an optimized crystal structure of CdMo2Br, with properties calculated at the PBE level.

Structure (POSCAR):
```
CdMo2Br
1.0
4.0278 0.0000 0.0000
0.0000 4.0278 0.0000
2.0139 2.0139 9.9326
Mo Cd Br
4 2 2
Direct
0.8750 0.8184 0.7500
0.1816 0.6250 0.2500
0.5684 0.1250 0.2500
0.3750 0.4316 0.7500
0.7500 0.2500 0.5000
0.0000 0.0000 0.0000
0.2500 0.7500 0.5000
0.5000 0.5000 0.0000
```

Results
Volume: 161.14 Å³ per cell
D(E_F): 6.2 states/eV/cell
Formation energy (no corrections): 0.975 eV per atom
Electronic total energy: -5.088 eV/atom

---

Entry 3:
Below is an optimized crystal structure of Cd2MoBr, with properties calculated at the PBE level.

Structure (POSCAR):
```
Cd2MoBr
1.0
4.9689 0.0000 0.0000
2.4844 4.3032 0.0000
2.4844 1.4344 4.0571
Cd Br Mo
2 1 1
Direct
0.2500 0.2500 0.2500
0.0000 0.0000 0.0000
0.5000 0.5000 0.5000
0.7500 0.7500 0.7500
```

Results
Volume: 86.75 Å³ per cell
D(E_F): 1.5 states/eV/cell
Formation energy (no corrections): 0.758 eV per atom
Electronic total energy: -2.826 eV/atom

---

Entry 4:
Below is an optimized crystal structure of CdMoBr2, with properties calculated at the PBE level.

Structure (POSCAR):
```
CdMoBr2
1.0
-0.6166 -0.6454 -3.3272
1.1240 -2.3140 2.2911
-10.1921 -2.5841 2.3902
Mo Cd Br
1 1 2
Direct
0.5000 0.5000 0.7500
0.5000 0.5000 0.2500
0.0000 0.0000 0.5607
0.0000 0.0000 0.9393
```

Results
Volume: 104.70 Å³ per cell
D(E_F): 1.9 states/eV/cell
Formation energy (no corrections): 0.197 eV per atom
Electronic total energy: -3.576 eV/atom

---

Entry 5:
Below is an optimized crystal structure of Cd2MoBr, with properties calculated at the PBE level.

Structure (POSCAR):
```
Cd2MoBr
1.0
-2.1256 -5.9138 -3.8787
0.1596 -7.0006 -2.3456
-2.8252 -2.3456 2.5485
Cd Mo Br
2 1 1
Direct
0.4406 0.4406 0.5595
0.0594 0.0594 0.9405
0.7500 0.7500 0.7500
0.2500 0.2500 0.2500
```

Results
Volume: 91.00 Å³ per cell
D(E_F): 3.6 states/eV/cell
Formation energy (no corrections): 0.507 eV per atom
Electronic total energy: -3.076 eV/atom

---

Entry 6:
Below is an optimized crystal structure of Cd2MoBr, with properties calculated at the PBE level.

Structure (POSCAR):
```
Cd2MoBr
1.0
5.9099 -0.0010 0.0000
3.0654 5.0527 0.0000
-4.4876 -2.5259 2.8996
Br Cd Mo
1 2 1
Direct
0.7500 0.2500 0.5000
0.5000 0.5000 0.0000
0.0000 0.0000 0.0000
0.2500 0.7500 0.5000
```

Results
Volume: 86.59 Å³ per cell
D(E_F): 2.6 states/eV/cell
Formation energy (no corrections): 0.686 eV per atom
Electronic total energy: -2.897 eV/atom

---

Entry 7:
Below is an optimized crystal structure of Cd2MoBr, with properties calculated at the PBE level.

Structure (POSCAR):
```
Cd2MoBr
1.0
-4.0287 1.0718 1.8730
-0.3293 -3.0119 1.0153
2.4263 -0.1798 5.3218
Br Cd Mo
1 2 1
Direct
0.5000 0.5697 0.7347
0.5000 0.2990 0.2792
0.0000 0.9433 0.9861
0.0000 0.6879 0.5000
```

Results
Volume: 82.16 Å³ per cell
D(E_F): 2.6 states/eV/cell
Formation energy (no corrections): 0.461 eV per atom
Electronic total energy: -3.123 eV/atom

---

Entry 8:
Below is an optimized crystal structure of CdMoBr, with properties calculated at the PBE level.

Structure (POSCAR):
```
CdMoBr
1.0
-3.0309 -0.8194 -0.4538
2.1967 -2.2413 0.4636
-1.2718 0.3719 7.8234
Cd Br Mo
1 1 1
Direct
0.3333 0.6667 0.3972
0.0000 0.0000 0.9123
0.6667 0.3333 0.6904
```

Results
Volume: 69.16 Å³ per cell
D(E_F): 2.0 states/eV/cell
Formation energy (no corrections): 0.286 eV per atom
Electronic total energy: -4.187 eV/atom

---

Entry 9:
Below is an optimized crystal structure of CdMoBr, with properties calculated at the PBE level.

Structure (POSCAR):
```
CdMoBr
1.0
4.9034 0.0000 0.0000
2.4517 4.2464 0.0000
2.4517 1.4155 4.0036
Mo Br Cd
1 1 1
Direct
0.7500 0.7500 0.7500
0.0000 0.0000 0.0000
0.5000 0.5000 0.5000
```

Results
Volume: 83.36 Å³ per cell
D(E_F): 1.8 states/eV/cell
Formation energy (no corrections): 0.950 eV per atom
Electronic total energy: -3.523 eV/atom

---

Entry 10:
Below is an optimized crystal structure of CdMoBr2, with properties calculated at the PBE level.

Structure (POSCAR):
```
CdMoBr2
1.0
-2.3864 7.4130 -0.6031
-6.6195 3.5193 -2.1926
4.5369 -4.7008 4.2814
Mo Br Cd
1 2 1
Direct
0.2500 0.7500 0.5000
0.1044 0.1044 0.0000
0.3956 0.3956 0.0000
0.7500 0.2500 0.5000
```

Results
Volume: 115.85 Å³ per cell
D(E_F): 1.7 states/eV/cell
Formation energy (no corrections): 0.007 eV per atom
Electronic total energy: -3.766 eV/atom

---

Entry 11:
Below is an optimized crystal structure of CdMo2Br, with properties calculated at the PBE level.

Structure (POSCAR):
```
CdMo2Br
1.0
-1.9088 2.1519 -0.4624
-0.6464 -2.4478 -1.4417
-5.0823 -2.9442 7.2777
Cd Br Mo
1 1 2
Direct
0.5000 0.5000 0.7500
0.5000 0.5000 0.2500
0.0000 0.0000 0.0106
0.0000 0.0000 0.4894
```

Results
Volume: 72.87 Å³ per cell
D(E_F): 3.8 states/eV/cell
Formation energy (no corrections): 0.883 eV per atom
Electronic total energy: -5.179 eV/atom

---

Entry 12:
Below is an optimized crystal structure of CdMoBr2, with properties calculated at the PBE level.

Structure (POSCAR):
```
CdMoBr2
1.0
-1.4231 2.1884 -4.3667
-4.6989 0.1261 1.9459
0.7247 3.5094 1.5226
Mo Br Cd
1 2 1
Direct
0.0000 0.5000 0.5000
0.5000 0.5000 0.0000
0.0000 0.0000 0.0000
0.5000 0.0000 0.5000
```

Results
Volume: 100.60 Å³ per cell
D(E_F): 3.1 states/eV/cell
Formation energy (no corrections): 0.625 eV per atom
Electronic total energy: -3.148 eV/atom

---

Entry 13:
Below is an optimized crystal structure of Cd3MoBr, with properties calculated at the PBE level.

Structure (POSCAR):
```
Cd3MoBr
1.0
5.5733 0.0000 0.0000
0.0000 5.5733 0.0000
0.0000 0.0000 5.5733
Mo Br Cd
1 1 3
Direct
0.5000 0.5000 0.5000
0.0000 0.0000 0.0000
0.0000 0.5000 0.0000
0.0000 0.0000 0.5000
0.5000 0.0000 0.0000
```

Results
Volume: 173.12 Å³ per cell
D(E_F): 2.7 states/eV/cell
Formation energy (no corrections): 1.308 eV per atom
Electronic total energy: -1.742 eV/atom

---

Entry 14:
Below is an optimized crystal structure of CdMoBr2, with properties calculated at the PBE level.

Structure (POSCAR):
```
CdMoBr2
1.0
-1.0556 1.5059 -2.6416
0.4484 -2.6893 -1.7122
-9.1617 -2.8311 2.0472
Cd Br Mo
1 2 1
Direct
0.5000 0.5000 0.2500
0.0000 0.0000 0.5874
0.0000 0.0000 0.9126
0.5000 0.5000 0.7500
```

Results
Volume: 101.61 Å³ per cell
D(E_F): 2.9 states/eV/cell
Formation energy (no corrections): 0.287 eV per atom
Electronic total energy: -3.486 eV/atom

---

Entry 15:
Below is an optimized crystal structure of Cd2MoBr, with properties calculated at the PBE level.

Structure (POSCAR):
```
Cd2MoBr
1.0
-4.7530 -2.0007 -0.3145
-3.9177 2.2409 2.5146
-3.6797 2.4859 -2.6406
Cd Mo Br
2 1 1
Direct
0.7500 0.7500 0.7500
0.2500 0.2500 0.2500
0.5000 0.5000 0.5000
0.0000 0.0000 0.0000
```

Results
Volume: 97.52 Å³ per cell
D(E_F): 3.2 states/eV/cell
Formation energy (no corrections): 0.905 eV per atom
Electronic total energy: -2.679 eV/atom